(1)
{
  "formula": "AsRh",
  "functional": "PBE",
  "state": "relaxed",
  "cell": [[3.3210, 0.0000, 0.0000], [0.0000, 6.1476, 2.5509], [0.0000, -6.1476, 2.5509]],
  "species": ["As", "As", "As", "Rh", "Rh", "Rh"],
  "frac_coords": [[0.0000, 0.0000, 0.0000], [0.5000, 0.4123, 0.7587], [0.5000, 0.7587, 0.4123], [0.0000, 0.0149, 0.3881], [0.0000, 0.3881, 0.0149], [0.5000, 0.3502, 0.3502]],
  "mass_density_g_cm3": 8.50,
  "ef_ev_per_atom": -0.319,
  "energy_ev_per_atom": -6.32
}

***

(2)
{
  "formula": "SmTmBePd",
  "functional": "PBE",
  "state": "relaxed",
  "cell": [[0.0000, 3.4907, 3.4907], [3.4907, 0.0000, 3.4907], [3.4907, 3.4907, 0.0000]],
  "species": ["Sm", "Tm", "Be", "Pd"],
  "frac_coords": [[0.0000, 0.0000, 0.0000], [0.5000, 0.5000, 0.5000], [0.7500, 0.7500, 0.7500], [0.2500, 0.2500, 0.2500]],
  "mass_density_g_cm3": 8.49,
  "ef_ev_per_atom": -0.329,
  "energy_ev_per_atom": -4.86
}

***

(3)
{
  "formula": "Pm3Sm4PuSe8",
  "functional": "PBE",
  "state": "relaxed",
  "cell": [[4.1789, 2.4127, 6.8207], [-4.1789, 2.4127, 6.8207], [0.0000, -4.8254, 6.8207]],
  "species": ["Pm", "Pm", "Pm", "Sm", "Sm", "Sm", "Sm", "Pu", "Se", "Se", "Se", "Se", "Se", "Se", "Se", "Se"],
  "frac_coords": [[0.0000, 0.5000, 0.5000], [0.5000, 0.0000, 0.5000], [0.5000, 0.5000, 0.0000], [0.0000, 0.0000, 0.5000], [0.0000, 0.5000, 0.0000], [0.5000, 0.0000, 0.0000], [0.5000, 0.5000, 0.5000], [0.0000, 0.0000, 0.0000], [0.2474, 0.7512, 0.7512], [0.2493, 0.2493, 0.2493], [0.2488, 0.2488, 0.7526], [0.2488, 0.7526, 0.2488], [0.7512, 0.2474, 0.7512], [0.7512, 0.7512, 0.2474], [0.7507, 0.7507, 0.7507], [0.7526, 0.2488, 0.2488]],
  "mass_density_g_cm3": 7.70,
  "energy_ev_per_atom": -6.51
}

***

(4)
{
  "formula": "CeCd4Ag8",
  "functional": "PBE",
  "state": "relaxed",
  "cell": [[-4.8763, 4.8763, 2.8261], [4.8763, -4.8763, 2.8261], [4.8763, 4.8763, -2.8261]],
  "species": ["Ce", "Cd", "Cd", "Cd", "Cd", "Ag", "Ag", "Ag", "Ag", "Ag", "Ag", "Ag", "Ag"],
  "frac_coords": [[0.0000, 0.0000, 0.0000], [0.0000, 0.0000, 0.5000], [0.0000, 0.5000, 0.0000], [0.5000, 0.0000, 0.0000], [0.5000, 0.5000, 0.5000], [0.0000, 0.3514, 0.3514], [0.0000, 0.6486, 0.6486], [0.2876, 0.5000, 0.7876], [0.3514, 0.0000, 0.3514], [0.5000, 0.2876, 0.7876], [0.5000, 0.7124, 0.2124], [0.6486, 0.0000, 0.6486], [0.7124, 0.5000, 0.2124]],
  "mass_density_g_cm3": 8.97,
  "ef_ev_per_atom": -0.044,
  "energy_ev_per_atom": -2.54
}

***

(5)
{
  "formula": "CaZn2Cr",
  "functional": "PBE",
  "state": "relaxed",
  "cell": [[-2.3456, 2.3456, 9.1200], [2.3456, -2.3456, 9.1200], [2.3456, 2.3456, -9.1200]],
  "species": ["Ca", "Ca", "Zn", "Zn", "Zn", "Zn", "Cr", "Cr"],
  "frac_coords": [[0.0000, 0.0000, 0.0000], [0.7500, 0.2500, 0.5000], [0.3055, 0.6250, 0.1805], [0.3750, 0.5555, 0.6805], [0.4445, 0.1250, 0.8195], [0.8750, 0.6945, 0.3195], [0.2500, 0.7500, 0.5000], [0.5000, 0.5000, 0.0000]],
  "mass_density_g_cm3": 3.69,
  "ef_ev_per_atom": 0.368,
  "energy_ev_per_atom": -3.18
}

***

(6)
{
  "formula": "Ba2Hg2Sb",
  "functional": "PBE",
  "state": "relaxed",
  "cell": [[-2.2288, 2.2288, 9.4525], [2.2288, -2.2288, 9.4525], [2.2288, 2.2288, -9.4525]],
  "species": ["Ba", "Ba", "Hg", "Hg", "Sb"],
  "frac_coords": [[0.0956, 0.0956, 0.0000], [0.9044, 0.9044, 0.0000], [0.2500, 0.7500, 0.5000], [0.7500, 0.2500, 0.5000], [0.5000, 0.5000, 0.0000]],
  "relative_energy_ev_per_atom": 0.051,
  "mass_density_g_cm3": 7.05,
  "energy_ev_per_atom": -2.32
}

***

(7)
{
  "formula": "TlNiW2",
  "functional": "PBE",
  "state": "relaxed",
  "cell": [[0.0000, 3.1930, 3.1930], [3.1930, 0.0000, 3.1930], [3.1930, 3.1930, 0.0000]],
  "species": ["Tl", "Ni", "W", "W"],
  "frac_coords": [[0.0000, 0.0000, 0.0000], [0.5000, 0.5000, 0.5000], [0.2500, 0.2500, 0.2500], [0.7500, 0.7500, 0.7500]],
  "relative_energy_ev_per_atom": 0.519,
  "mass_density_g_cm3": 16.09,
  "ef_ev_per_atom": 1.010,
  "energy_ev_per_atom": -7.50
}

***

(8)
{
  "formula": "BaCdTc",
  "functional": "PBE",
  "state": "relaxed",
  "cell": [[4.8116, 0.0000, 0.0000], [-2.4058, 4.1670, 0.0000], [0.0000, 0.0000, 4.6586]],
  "species": ["Ba", "Cd", "Tc"],
  "frac_coords": [[0.0000, 0.0000, 0.0000], [0.6667, 0.3333, 0.5000], [0.3333, 0.6667, 0.5000]],
  "relative_energy_ev_per_atom": 0.030,
  "mass_density_g_cm3": 6.18,
  "ef_ev_per_atom": 0.697,
  "energy_ev_per_atom": -3.70
}